#i
VASP calculation (PBE) on crystalline Y2Ho3In at its relaxed geometry.

- ρ: 7.35 g cm⁻³

a b c (Å): 4.8482 15.0411 4.8789
angles (deg): 90.00 90.00 90.00
Space group Cmmm (No. 65)
Unique sites:
Y  0.0000  0.1607  0.0000 x4
Ho  0.0000  0.0000  0.5000 x2
Ho  0.0000  0.3319  0.5000 x4
In  0.0000  0.5000  0.0000 x2


#ii
VASP calculation (PBE) on crystalline Y2Ho3In at its relaxed geometry.

- ρ: 7.02 g cm⁻³

a b c (Å): 5.7375 6.3950 10.1535
angles (deg): 90.00 90.00 90.00
Space group Immm (No. 71)
Unique sites:
Y  0.0000  0.0000  0.1861 x4
Ho  0.0000  0.5000  0.1532 x4
Ho  0.0000  0.5000  0.5000 x2
In  0.0000  0.0000  0.5000 x2


Pick the least stable structure from those above. Pick: #ii